# 1
This record from Alexandria describes a relaxed structure of RbMnAs2Se. The functional is PBE.

a = 4.794 Å, b = 4.794 Å, c = 5.365 Å
α = 90.00°, β = 90.00°, γ = 90.00°
Element x y z (fractional)
Rb 0.000 0.000 0.000
Mn 0.500 0.500 0.500
As 0.000 0.500 0.500
As 0.500 0.000 0.500
Se 0.500 0.500 0.000

The value obtained for the energy above the most stable polymorph in this dataset is 0 meV/atom. For the uncorrected formation energy, the calculation gives -0.08 eV/atom. The mass density is 5.0 Mg/m³.

# 2
This record from Alexandria describes a relaxed structure of Rb2MnAsSe4. The functional is PBE.

a = 13.898 Å, b = 12.344 Å, c = 7.875 Å
α = 83.73°, β = 61.99°, γ = 34.28°
Element x y z (fractional)
Rb 0.054 0.054 0.696
Rb 0.304 0.304 0.946
Rb 0.696 0.696 0.054
Rb 0.946 0.946 0.304
Mn 0.125 0.125 0.125
Mn 0.875 0.875 0.875
As 0.375 0.375 0.375
As 0.625 0.625 0.625
Se 0.033 0.322 0.416
Se 0.271 0.584 0.678
Se 0.322 0.033 0.729
Se 0.416 0.729 0.033
Se 0.584 0.271 0.967
Se 0.678 0.967 0.271
Se 0.729 0.416 0.322
Se 0.967 0.678 0.584

For the uncorrected formation energy, the calculation gives -0.62 eV/atom. The mass density is 3.7 Mg/m³.

# 3
This record from Alexandria describes a relaxed structure of RbMnAs2Se. The functional is PBE.

a = 5.602 Å, b = 5.602 Å, c = 5.728 Å
α = 90.00°, β = 90.00°, γ = 90.00°
Element x y z (fractional)
Rb 0.000 0.000 0.000
Mn 0.500 0.500 0.500
As 0.000 0.500 0.000
As 0.500 0.000 0.000
Se 0.000 0.000 0.500

The value obtained for the energy above the most stable polymorph in this dataset is 1761 meV/atom. For the uncorrected formation energy, the calculation gives 1.68 eV/atom. The mass density is 3.4 Mg/m³.

# 4
This record from Alexandria describes a relaxed structure of Rb2MnVAs. The functional is PBE.

a = 6.998 Å, b = 6.998 Å, c = 4.550 Å
α = 90.00°, β = 90.00°, γ = 90.00°
Element x y z (fractional)
Rb 0.000 0.500 0.000
Rb 0.500 0.000 0.000
Mn 0.000 0.000 0.000
V 0.500 0.500 0.500
As 0.000 0.000 0.500

The value obtained for the formation energy is 6.022 eV per formula unit. The mass density is 2.6 Mg/m³.